! BaEuFe2O5 | Alexandria via LeMat-Bulk | GGA+U | relaxed; values from VASP
&SYSTEM
  ibrav = 0, nat = 9, ntyp = 4
/
ATOMIC_SPECIES
Ba 137.33 Ba.upf
Eu 151.96 Eu.upf
Fe 55.84 Fe.upf
O 16.00 O.upf
ATOMIC_POSITIONS angstrom
Ba 0.012 0.009 7.685
Eu 0.017 4.006 3.838
Fe 2.009 1.997 1.974
Fe 2.015 2.002 5.701
O 2.009 0.001 5.385
O 2.015 3.998 2.290
O 0.014 2.007 5.385
O 4.010 1.991 2.289
O 2.018 2.004 7.680
CELL_PARAMETERS angstrom
4.001 -0.012 -0.006
0.011 4.001 -0.005
0.012 0.009 7.685
! M_tot = 3.000 μB per formula unit
! DFT total energy = -7.487 eV per atom
! DOS at the Fermi energy = 8.2 states/eV per cell
! crystal system = tetragonal